Here is a geometry-optimized Er4AgPt3 structure from the Alexandria database. Energies are from PBE.

Computed properties:
uncorrected energy	-5.95	eV per atom
formation energy	-809	kJ/mol of formula units

Lattice parameters (Å, degrees): 4.9447 4.9447 24.1616 90.00 90.00 120.00
Space group R-3m (No. 166, hexagonal axes)
Asymmetric unit:
Er: 0.0000 0.0000 0.1216
Er: 0.0000 0.0000 0.3716
Ag: 0.0000 0.0000 0.5000
Pt: 0.0000 0.0000 0.0000
Pt: 0.0000 0.0000 0.2446